{"formula": "SiHBr2N", "functional": "PBEsol", "state": "optimized geometry", "cell": [[4.9290, 0.0000, 0.0000], [0.0000, 4.9290, 0.0000], [0.0000, 0.0000, 3.0249]], "species": ["Si", "H", "Br", "Br", "N"], "frac_coords": [[0.0000, 0.0000, 0.0000], [0.5000, 0.5000, 0.0000], [0.0000, 0.5000, 0.5000], [0.5000, 0.0000, 0.5000], [0.5000, 0.5000, 0.5000]], "sg": "No. 123", "dos_at_fermi_per_ev_cell": 1.67, "total_energy_ev_per_atom": -3.375, "total_magnetization_mub_per_fu": 0.0}

***

{"formula": "Na2HBr", "functional": "PBEsol", "state": "optimized geometry", "cell": [[0.0000, 3.4007, 3.4007], [3.4007, 0.0000, 3.4007], [3.4007, 3.4007, 0.0000]], "species": ["Na", "Na", "H", "Br"], "frac_coords": [[0.2500, 0.2500, 0.2500], [0.7500, 0.7500, 0.7500], [0.0000, 0.0000, 0.0000], [0.5000, 0.5000, 0.5000]], "sg": "No. 225", "dos_at_fermi_per_ev_cell": 0.00, "e_above_lowest_polymorph_kj_per_mol_atoms": 14.0, "total_magnetization_mub_per_fu": 0.0}

***

{"formula": "Na2HBr", "functional": "PBEsol", "state": "optimized geometry", "cell": [[-3.3057, 3.3057, 3.9111], [3.3057, -3.3057, 3.9111], [3.3057, 3.3057, -3.9111]], "species": ["Na", "Na", "Na", "Na", "H", "H", "Br", "Br"], "frac_coords": [[0.0463, 0.6250, 0.9213], [0.3750, 0.2963, 0.4213], [0.7037, 0.1250, 0.0787], [0.8750, 0.9537, 0.5787], [0.0000, 0.0000, 0.0000], [0.7500, 0.2500, 0.5000], [0.2500, 0.7500, 0.5000], [0.5000, 0.5000, 0.0000]], "sg": "No. 122", "dos_at_fermi_per_ev_cell": 0.00, "e_above_lowest_polymorph_kj_per_mol_atoms": 0.0, "total_magnetization_mub_per_fu": 0.0}

***

{"formula": "Na5H4BrO4", "functional": "PBEsol", "state": "optimized geometry", "cell": [[11.6080, 0.0000, 0.0000], [0.0000, 18.4304, 0.0000], [0.0000, 0.0000, 6.4292]], "species": ["Na", "Na", "Na", "Na", "Na", "Na", "Na", "Na", "Na", "Na", "Na", "Na", "Na", "Na", "Na", "Na", "Na", "Na", "Na", "Na", "Na", "Na", "Na", "Na", "Na", "Na", "Na", "Na", "Na", "Na", "Na", "Na", "Na", "Na", "Na", "Na", "Na", "Na", "Na", "Na", "H", "H", "H", "H", "H", "H", "H", "H", "H", "H", "H", "H", "H", "H", "H", "H", "H", "H", "H", "H", "H", "H", "H", "H", "H", "H", "H", "H", "H", "H", "H", "H", "Br", "Br", "Br", "Br", "Br", "Br", "Br", "Br", "O", "O", "O", "O", "O", "O", "O", "O", "O", "O", "O", "O", "O", "O", "O", "O", "O", "O", "O", "O", "O", "O", "O", "O", "O", "O", "O", "O", "O", "O", "O", "O"], "frac_coords": [[0.0000, 0.0000, 0.0000], [0.0000, 0.5000, 0.0000], [0.0106, 0.2500, 0.1484], [0.0459, 0.2500, 0.6103], [0.1063, 0.6257, 0.2273], [0.1063, 0.8743, 0.2273], [0.1509, 0.1249, 0.3644], [0.1509, 0.3751, 0.3644], [0.1932, 0.7500, 0.5418], [0.2354, 0.5038, 0.6208], [0.2354, 0.9962, 0.6208], [0.2646, 0.0038, 0.1208], [0.2646, 0.4962, 0.1208], [0.3068, 0.2500, 0.0418], [0.3491, 0.6249, 0.8644], [0.3491, 0.8751, 0.8644], [0.3937, 0.1257, 0.7273], [0.3937, 0.3743, 0.7273], [0.4541, 0.7500, 0.1103], [0.4894, 0.7500, 0.6484], [0.5000, 0.0000, 0.5000], [0.5000, 0.5000, 0.5000], [0.5106, 0.2500, 0.3516], [0.5459, 0.2500, 0.8897], [0.6063, 0.6257, 0.2727], [0.6063, 0.8743, 0.2727], [0.6509, 0.1249, 0.1356], [0.6509, 0.3751, 0.1356], [0.6932, 0.7500, 0.9582], [0.7354, 0.5038, 0.8792], [0.7354, 0.9962, 0.8792], [0.7646, 0.0038, 0.3792], [0.7646, 0.4962, 0.3792], [0.8068, 0.2500, 0.4582], [0.8491, 0.6249, 0.6356], [0.8491, 0.8751, 0.6356], [0.8937, 0.1257, 0.7727], [0.8937, 0.3743, 0.7727], [0.9541, 0.7500, 0.3897], [0.9894, 0.7500, 0.8516], [0.0182, 0.0060, 0.3766], [0.0182, 0.4940, 0.3766], [0.0645, 0.6129, 0.5848], [0.0645, 0.8871, 0.5848], [0.1252, 0.6135, 0.8306], [0.1252, 0.8865, 0.8306], [0.1920, 0.7500, 0.1443], [0.2339, 0.7500, 0.9005], [0.2661, 0.2500, 0.4005], [0.3080, 0.2500, 0.6443], [0.3748, 0.1135, 0.3306], [0.3748, 0.3865, 0.3306], [0.4355, 0.1129, 0.0848], [0.4355, 0.3871, 0.0848], [0.4818, 0.5060, 0.8766], [0.4818, 0.9940, 0.8766], [0.5182, 0.0060, 0.1234], [0.5182, 0.4940, 0.1234], [0.5645, 0.6129, 0.9152], [0.5645, 0.8871, 0.9152], [0.6252, 0.6135, 0.6694], [0.6252, 0.8865, 0.6694], [0.6920, 0.7500, 0.3557], [0.7339, 0.7500, 0.5995], [0.7661, 0.2500, 0.0995], [0.8080, 0.2500, 0.8557], [0.8748, 0.1135, 0.1694], [0.8748, 0.3865, 0.1694], [0.9355, 0.1129, 0.4152], [0.9355, 0.3871, 0.4152], [0.9818, 0.5060, 0.6234], [0.9818, 0.9940, 0.6234], [0.1484, 0.1315, 0.8744], [0.1484, 0.3685, 0.8744], [0.3516, 0.6315, 0.3744], [0.3516, 0.8685, 0.3744], [0.6484, 0.1315, 0.6256], [0.6484, 0.3685, 0.6256], [0.8516, 0.6315, 0.1256], [0.8516, 0.8685, 0.1256], [0.0455, 0.6645, 0.5937], [0.0455, 0.8355, 0.5937], [0.0994, 0.5030, 0.3441], [0.0994, 0.9970, 0.3441], [0.1079, 0.7500, 0.1529], [0.1613, 0.5723, 0.9035], [0.1613, 0.9277, 0.9035], [0.1880, 0.2500, 0.3429], [0.3120, 0.7500, 0.8429], [0.3387, 0.0723, 0.4035], [0.3387, 0.4277, 0.4035], [0.3921, 0.2500, 0.6529], [0.4006, 0.0030, 0.8441], [0.4006, 0.4970, 0.8441], [0.4545, 0.1645, 0.0937], [0.4545, 0.3355, 0.0937], [0.5455, 0.6645, 0.9063], [0.5455, 0.8355, 0.9063], [0.5994, 0.5030, 0.1559], [0.5994, 0.9970, 0.1559], [0.6079, 0.7500, 0.3471], [0.6613, 0.5723, 0.5965], [0.6613, 0.9277, 0.5965], [0.6880, 0.2500, 0.1571], [0.8120, 0.7500, 0.6571], [0.8387, 0.0723, 0.0965], [0.8387, 0.4277, 0.0965], [0.8921, 0.2500, 0.8471], [0.9006, 0.0030, 0.6559], [0.9006, 0.4970, 0.6559], [0.9545, 0.1645, 0.4063], [0.9545, 0.3355, 0.4063]], "sg": "No. 62", "dos_at_fermi_per_ev_cell": 0.00, "total_energy_ev_per_atom": -4.434, "total_magnetization_mub_per_fu": 0.0}

***

Copy entry 1 word for word.
{"formula": "SiHBr2N", "functional": "PBEsol", "state": "optimized geometry", "cell": [[4.9290, 0.0000, 0.0000], [0.0000, 4.9290, 0.0000], [0.0000, 0.0000, 3.0249]], "species": ["Si", "H", "Br", "Br", "N"], "frac_coords": [[0.0000, 0.0000, 0.0000], [0.5000, 0.5000, 0.0000], [0.0000, 0.5000, 0.5000], [0.5000, 0.0000, 0.5000], [0.5000, 0.5000, 0.5000]], "sg": "No. 123", "dos_at_fermi_per_ev_cell": 1.67, "total_energy_ev_per_atom": -3.375, "total_magnetization_mub_per_fu": 0.0}